Entry 1:
# NpHSeS

A geometry-optimized NpHSeS structure (PBE-GGA, Alexandria).

It has space group P3m1 (No. 156), with a = 3.8044 Å, b = 3.8044 Å, c = 6.7627 Å, α = 90.00°, β = 90.00° and γ = 120.00°. The inequivalent atoms are Np at (0.0000, 0.0000, 0.0000), H at (0.3333, 0.6667, 0.0718), Se at (0.3333, 0.6667, 0.7289) and S at (0.6667, 0.3333, 0.2180).

As for the crystal system: trigonal. As for the density of states at the Fermi level: 1.6935 states/eV/atom. For the total energy, the calculation gives -26.41 eV/cell.


Entry 2:
# BIrPd

A geometry-optimized BIrPd structure (PBE-GGA, Alexandria).

It has space group P2_1/m (No. 11), with a = 4.1301 Å, b = 3.5675 Å, c = 5.5324 Å, α = 90.00°, β = 110.09° and γ = 90.00°. The inequivalent atoms are B at (0.1675, 0.2500, 0.3090), Ir at (0.2663, 0.7500, 0.5396) and Pd at (0.2686, 0.7500, 0.0495).

As for the crystal system: monoclinic. The value obtained for the relative energy among the computed polymorphs is 0.10 eV/f.u. The value obtained for the formation energy from the elements is -241.8 meV per atom. As for the density of states at the Fermi level: 0.2502 states/eV/atom.


Entry 3:
# PuCu2Ag2O6

A geometry-optimized PuCu2Ag2O6 structure (PBE-GGA, Alexandria).

It has space group C2/m (No. 12), with a = 6.1363 Å, b = 8.8321 Å, c = 6.1888 Å, α = 90.00°, β = 107.06° and γ = 90.00°. The inequivalent atoms are Pu at (0.0000, 0.0000, 0.0000), Cu at (0.0000, 0.3362, 0.0000), Ag at (0.0000, 0.1726, 0.5000), O at (0.1498, 0.1744, 0.2177) and O at (0.2137, 0.5000, 0.1305).

As for the crystal system: monoclinic. As for the energy relative to the elements, uncorrected: -1.075 eV per atom. As for the density of states at the Fermi level: 0.4723 states/eV/atom.


Entry 4:
# NaHS3

A geometry-optimized NaHS3 structure (PBE-GGA, Alexandria).

It has space group Pm-3m (No. 221), with a = 5.3065 Å, b = 5.3065 Å, c = 5.3065 Å, α = 90.00°, β = 90.00° and γ = 90.00°. The inequivalent atoms are Na at (0.0000, 0.0000, 0.0000), H at (0.5000, 0.5000, 0.5000) and S at (0.0000, 0.0000, 0.5000).

As for the crystal system: cubic. The value obtained for the relative energy among the computed polymorphs is 8.75 eV/f.u. As for the density of states at the Fermi level: 0.5715 states/eV/atom.


Entry 5:
# SiRhAu

A geometry-optimized SiRhAu structure (PBE-GGA, Alexandria).

It has space group P3m1 (No. 156), with a = 3.0012 Å, b = 3.0012 Å, c = 5.9961 Å, α = 90.00°, β = 90.00° and γ = 120.00°. The inequivalent atoms are Si at (0.0000, 0.0000, 0.0000), Rh at (0.3333, 0.6667, 0.7297) and Au at (0.6667, 0.3333, 0.3358).

As for the crystal system: trigonal. The value obtained for the relative energy among the computed polymorphs is 0.59 eV/f.u. As for the energy relative to the elements, uncorrected: -0.163 eV per atom. As for the density of states at the Fermi level: 0.8200 states/eV/atom.


Entry 6:
# RbBi2HPt

A geometry-optimized RbBi2HPt structure (PBE-GGA, Alexandria).

It has space group P4/mmm (No. 123), with a = 5.8189 Å, b = 5.8189 Å, c = 3.5308 Å, α = 90.00°, β = 90.00° and γ = 90.00°. The inequivalent atoms are Rb at (0.0000, 0.0000, 0.0000), Bi at (0.0000, 0.5000, 0.5000), H at (0.5000, 0.5000, 0.5000) and Pt at (0.5000, 0.5000, 0.0000).

As for the crystal system: tetragonal. As for the density of states at the Fermi level: 0.7257 states/eV/atom. For the total energy, the calculation gives -17.01 eV/cell.


Entry 7:
# YTeMo2

A geometry-optimized YTeMo2 structure (PBE-GGA, Alexandria).

It has space group Imm2 (No. 44), with a = 3.5526 Å, b = 4.9990 Å, c = 9.3446 Å, α = 90.00°, β = 90.00° and γ = 90.00°. The inequivalent atoms are Y at (0.0000, 0.0000, 0.0000), Te at (0.0000, 0.5000, 0.2277), Mo at (0.0000, 0.0000, 0.4751) and Mo at (0.0000, 0.5000, 0.7771).

As for the crystal system: orthorhombic. As for the energy relative to the elements, uncorrected: 0.178 eV per atom. As for the density of states at the Fermi level: 0.8725 states/eV/atom.


Entry 8:
# RbMoBr2

A geometry-optimized RbMoBr2 structure (PBE-GGA, Alexandria).

It has space group R-3m (No. 166, hexagonal axes), with a = 5.2651 Å, b = 5.2651 Å, c = 25.6441 Å, α = 90.00°, β = 90.00° and γ = 120.00°. The inequivalent atoms are Rb at (0.0000, 0.0000, 0.0000), Mo at (0.0000, 0.0000, 0.5000) and Br at (0.0000, 0.0000, 0.3994).

As for the crystal system: trigonal. The value obtained for the relative energy among the computed polymorphs is 0.00 eV/f.u. As for the energy relative to the elements, uncorrected: -0.173 eV per atom. As for the density of states at the Fermi level: 0.0000 states/eV/atom.


Entry 9:
# Cs3TcNi

A geometry-optimized Cs3TcNi structure (PBE-GGA, Alexandria).

It has space group Pm-3m (No. 221), with a = 6.4493 Å, b = 6.4493 Å, c = 6.4493 Å, α = 90.00°, β = 90.00° and γ = 90.00°. The inequivalent atoms are Cs at (0.0000, 0.0000, 0.5000), Tc at (0.5000, 0.5000, 0.5000) and Ni at (0.0000, 0.0000, 0.0000).

As for the crystal system: cubic. The value obtained for the relative energy among the computed polymorphs is 0.00 eV/f.u. The value obtained for the formation energy from the elements is 1424.3 meV per atom. As for the density of states at the Fermi level: 8.2952 states/eV/atom.


Entry 10:
# Ba4Te2PBr

A geometry-optimized Ba4Te2PBr structure (PBE-GGA, Alexandria).

It has space group P2/m (No. 10), with a = 8.4187 Å, b = 4.8750 Å, c = 8.4596 Å, α = 90.00°, β = 108.80° and γ = 90.00°. The inequivalent atoms are Ba at (0.2312, 0.0000, 0.2300), Ba at (0.2411, 0.5000, 0.7697), Te at (0.5000, 0.0000, 0.0000), Te at (0.5000, 0.5000, 0.5000), P at (0.0000, 0.5000, 0.0000) and Br at (0.0000, 0.0000, 0.5000).

As for the crystal system: monoclinic. As for the energy relative to the elements, uncorrected: -1.632 eV per atom.


Entry 11:
# Gd2LuAs

A geometry-optimized Gd2LuAs structure (PBE-GGA, Alexandria).

It has space group R-3m (No. 166, hexagonal axes), with a = 3.8711 Å, b = 3.8711 Å, c = 28.1597 Å, α = 90.00°, β = 90.00° and γ = 120.00°. The inequivalent atoms are Gd at (0.0000, 0.0000, 0.2297), Lu at (0.0000, 0.0000, 0.0000) and As at (0.0000, 0.0000, 0.5000).

As for the crystal system: trigonal. The value obtained for the formation energy from the elements is -576.1 meV per atom. As for the density of states at the Fermi level: 0.9121 states/eV/atom.


Entry 12:
# ZrIn2W

A geometry-optimized ZrIn2W structure (PBE-GGA, Alexandria).

It has space group Cmm2 (No. 35), with a = 3.6187 Å, b = 5.0115 Å, c = 9.3964 Å, α = 90.00°, β = 90.00° and γ = 90.00°. The inequivalent atoms are Zr at (0.0000, 0.0000, 0.0000), In at (0.0000, 0.0000, 0.4571), In at (0.0000, 0.5000, 0.7321) and W at (0.0000, 0.5000, 0.2220).

As for the crystal system: orthorhombic. The value obtained for the relative energy among the computed polymorphs is 0.22 eV/f.u. The value obtained for the formation energy from the elements is 263.8 meV per atom. As for the density of states at the Fermi level: 0.6046 states/eV/atom.


Entry 13:
# LaTc2Rh

A geometry-optimized LaTc2Rh structure (PBE-GGA, Alexandria).

It has space group Cmmm (No. 65), with a = 5.4394 Å, b = 9.1658 Å, c = 2.8601 Å, α = 90.00°, β = 90.00° and γ = 90.00°. The inequivalent atoms are La at (0.0000, 0.0000, 0.0000), Tc at (0.2500, 0.2500, 0.5000) and Rh at (0.0000, 0.5000, 0.0000).

As for the crystal system: orthorhombic. The value obtained for the relative energy among the computed polymorphs is 1.60 eV/f.u. The value obtained for the formation energy from the elements is 456.6 meV per atom. As for the density of states at the Fermi level: 1.6611 states/eV/atom.